{
  "formula": "Tb2ErCo9",
  "functional": "PBE",
  "state": "optimized geometry",
  "lattice_angstrom": [[4.9637, 0.0000, 0.0000], [2.4818, 4.2987, 0.0000], [2.4818, 1.4329, 8.1476]],
  "species": ["Co", "Co", "Er", "Co", "Co", "Co", "Co", "Co", "Tb", "Co", "Co", "Tb"],
  "fractional_positions": [[0.5815, 0.5815, 0.7582], [0.9211, 0.4185, 0.2418], [0.0000, 0.0000, 0.0000], [0.0789, 0.5815, 0.7582], [0.3345, 0.3345, 0.9965], [0.5815, 0.0789, 0.7582], [0.4185, 0.9211, 0.2418], [0.5000, 0.5000, 0.5000], [0.8605, 0.8605, 0.4185], [0.6655, 0.6655, 0.0035], [0.4185, 0.4185, 0.2418], [0.1395, 0.1395, 0.5815]],
  "vol_a3_per_atom": 14.49,
  "e_tot_ev_per_atom": -6.654,
  "total_magnetization_mub_per_cell": 10.556,
  "delta_e_f_mev_per_atom": -173,
  "dos_ef_per_ev_atom": 1.350
}